## Rb3Cr2F9 (PBE+U)

Data for a relaxed structure of Rb3Cr2F9.

**Space-group type**: P6_3/mmc
**N(E_F)**: 0.00 states/eV per cell
**Total energy**: -5.289 eV per atom
**M_tot**: 6.0 μB per formula unit
**Calculated volume**: 518.6 Å³/cell

abc: 6.147 6.147 15.845
angles: 90.00 90.00 120.00
Last column: magnetic moment on the atom in μB.
Sites, in units of the cell vectors:
F  0.184  0.816  0.598  0.01
Rb  0.667  0.333  0.568  0.00
Cr  0.333  0.667  0.838  2.93
Rb  0.000  0.000  0.750  0.00
F  0.184  0.369  0.598  0.01
F  0.816  0.631  0.402  0.01
F  0.473  0.946  0.750  -0.01
F  0.816  0.184  0.402  0.01
F  0.527  0.054  0.250  -0.01
F  0.473  0.527  0.750  -0.01
F  0.816  0.184  0.098  0.01
F  0.184  0.816  0.902  0.01
F  0.054  0.527  0.750  -0.01
F  0.184  0.369  0.902  0.01
F  0.816  0.631  0.098  0.01
F  0.631  0.816  0.902  0.01
F  0.527  0.473  0.250  -0.01
F  0.369  0.184  0.098  0.01
F  0.946  0.473  0.250  -0.01
Rb  0.667  0.333  0.932  0.00
Rb  0.333  0.667  0.432  0.00
Cr  0.667  0.333  0.338  2.93
Cr  0.333  0.667  0.662  2.93
Cr  0.667  0.333  0.162  2.93
F  0.631  0.816  0.598  0.01
Rb  0.000  0.000  0.250  0.00
F  0.369  0.184  0.402  0.01
Rb  0.333  0.667  0.068  0.00